This record from the Alexandria database describes a geometry-optimized Ta2WO8 structure. The functional is PBE+U.

It has space group C2/c (No. 15), with a = 20.0118 Å, b = 6.1736 Å, c = 5.1467 Å, α = 90.00°, β = 90.58° and γ = 90.00°. The distinct sites, in fractional coordinates, are Ta at (0.1327, 0.1799, 0.2374), W at (0.0000, 0.3438, 0.7500), O at (0.0521, 0.3897, 0.4282), O at (0.0570, 0.1612, 0.9205), O at (0.1613, 0.0836, 0.5698) and O at (0.1869, 0.3791, 0.1329).

As for the total energy: -0.319 Ha/atom.